Entry from Alexandria: a relaxed LaPrTlHg crystal (GGA-PBE).

Lattice parameters (Å, degrees): 5.558 5.558 5.558 60.00 60.00 60.00
Positions (direct):
La (0.000, 0.000, 0.000)
Pr (0.500, 0.500, 0.500)
Tl (0.750, 0.750, 0.750)
Hg (0.250, 0.250, 0.250)

crystal system: cubic
calculated total energy: -3.5395 eV per atom
magnetic moment: 0.943 μB per formula unit